[1]
Material: SrReIr2
Method: DFT, PBE
State: optimized geometry

Structure (POSCAR):
```
SrReIr2
1.0
4.633 0.000 0.000
2.316 4.012 0.000
2.316 1.337 3.783
Sr Ir Re
1 2 1
direct
0.250 0.250 0.250 Sr
0.750 0.750 0.750 Ir
0.000 0.000 0.000 Ir
0.500 0.500 0.500 Re
```

Results
excess energy over the best structure of this formula in the dataset	0.881	eV per atom

---

[2]
Material: SrReIr2
Method: DFT, PBE
State: optimized geometry

Structure (POSCAR):
```
SrReIr2
1.0
-5.900 -2.983 1.365
4.457 -2.100 0.951
-0.657 -0.148 2.772
Re Ir Sr
1 2 1
direct
0.000 0.500 0.500 Re
0.500 0.000 0.500 Ir
0.000 0.000 0.000 Ir
0.500 0.500 0.000 Sr
```

Results
excess energy over the best structure of this formula in the dataset	0.444	eV per atom

---

[3]
Material: SrReIr4
Method: DFT, PBE
State: optimized geometry

Structure (POSCAR):
```
SrReIr4
1.0
-4.626 -2.222 1.227
-3.672 2.793 2.561
-4.395 1.502 -2.504
Ir Sr Re
4 1 1
direct
0.875 0.375 0.375 Ir
0.375 0.375 0.375 Ir
0.375 0.875 0.375 Ir
0.375 0.375 0.875 Ir
0.000 0.000 0.000 Sr
0.750 0.750 0.750 Re
```

---

[4]
Material: SrReIr2
Method: DFT, PBE
State: optimized geometry

Structure (POSCAR):
```
SrReIr2
1.0
4.862 0.000 0.000
0.975 4.763 0.000
-2.918 -2.381 3.074
Ir Re Sr
2 1 1
direct
0.500 0.500 0.000 Ir
0.000 0.000 0.000 Ir
0.250 0.750 0.500 Re
0.750 0.250 0.500 Sr
```

Results
excess energy over the best structure of this formula in the dataset	0.699	eV per atom

---

| no. | formation enthalpy at 0 K (kcal/mol of atoms) |
| --- | --- |
| 1 | 21.7 |
| 2 | 11.6 |
| 3 | 10.1 |
| 4 | 17.4 |